(1)
Here is crystalline CaGeH3 at its relaxed geometry from the Alexandria database. Energies are from PBE.

abc: 3.907 3.907 3.907
angles: 90.00 90.00 90.00
Element x y z (fractional)
H  0.000  0.500  0.000
H  0.000  0.000  0.500
H  0.500  0.000  0.000
Ge  0.000  0.000  0.000
Ca  0.500  0.500  0.500

Crystal system: cubic
E above lowest polymorph: 0 meV per atom
M_tot: 0.0 μB/f.u.
Mass density: 3.2 Mg/m³
SG: No. 221

=====

(2)
Here is crystalline RbSrO2F at its relaxed geometry from the Alexandria database. Energies are from PBE.

abc: 4.421 4.421 4.836
angles: 90.00 90.00 90.00
Element x y z (fractional)
Sr  0.500  0.500  0.500
O  0.000  0.500  0.000
O  0.500  0.000  0.000
Rb  0.000  0.000  0.000
F  0.000  0.000  0.500

Crystal system: tetragonal
M_tot: 0.0 μB/f.u.
Formation energy (no corrections): -1108.5 meV/atom
Mass density: 3.9 Mg/m³
SG: No. 123

=====

(3)
Here is crystalline Sm3CoBr at its relaxed geometry from the Alexandria database. Energies are from PBE.

abc: 3.831 8.754 8.929
angles: 112.33 90.00 90.00
Element x y z (fractional)
Sm  0.250  0.622  0.294
Sm  0.750  0.378  0.706
Sm  0.250  0.025  0.695
Sm  0.750  0.260  0.048
Sm  0.750  0.975  0.305
Sm  0.250  0.740  0.952
Co  0.750  0.627  0.089
Co  0.250  0.373  0.911
Br  0.750  0.704  0.621
Br  0.250  0.296  0.379

Crystal system: monoclinic
E above lowest polymorph: 0 meV per atom
M_tot: 0.0 μB/f.u.
Formation energy (no corrections): -514.1 meV/atom
Mass density: 7.1 Mg/m³
SG: No. 11

=====

(4)
Here is crystalline Be2Au at its relaxed geometry from the Alexandria database. Energies are from PBE.

abc: 4.050 4.050 4.945
angles: 90.00 90.00 120.00
Element x y z (fractional)
Au  0.333  0.667  0.250
Au  0.667  0.333  0.750
Be  0.000  0.000  0.000
Be  0.000  0.000  0.500
Be  0.333  0.667  0.750
Be  0.667  0.333  0.250

Crystal system: hexagonal
Energy of formation: -34 meV/atom
M_tot: 0.0 μB/f.u.
Mass density: 10.2 Mg/m³
SG: No. 194

=====

(5)
Here is crystalline Nb2TlOs at its relaxed geometry from the Alexandria database. Energies are from PBE.

abc: 4.691 4.691 4.691
angles: 60.00 60.00 60.00
Element x y z (fractional)
Tl  0.500  0.500  0.500
Os  0.000  0.000  0.000
Nb  0.250  0.250  0.250
Nb  0.750  0.750  0.750

Crystal system: cubic
Energy of formation: 474 meV/atom
E above lowest polymorph: 0 meV per atom
M_tot: 0.0 μB/f.u.
Mass density: 13.2 Mg/m³
SG: No. 225

=====

(6)
Here is crystalline BeCr3Au at its relaxed geometry from the Alexandria database. Energies are from PBE.

abc: 4.964 4.964 4.964
angles: 90.00 90.00 90.00
Each line ends with the local moment (μB).
Element x y z (fractional)
Cr  0.000  0.500  0.000  3.75
Cr  0.000  0.000  0.500  3.87
Cr  0.500  0.000  0.000  3.70
Au  0.000  0.000  0.000  0.23
Be  0.500  0.500  0.500  -0.07

Crystal system: cubic
Energy of formation: 1697 meV/atom
E above lowest polymorph: 929 meV per atom
M_tot: 12.8 μB/f.u.
Mass density: 4.9 Mg/m³
SG: No. 221